NiIr6Rh8, relaxed, DFT GGA-PBE; ΔE to the lowest computed polymorph = 0 meV per atom; DOS at the Fermi energy = 1.4395 states/eV per atom; total magnetic moment = 0.0 μB/f.u.; final energy = -7.5653 eV per atom
1.0
7.242 0.000 0.000
-3.621 6.272 0.000
0.000 0.000 5.149
Ni Ir Rh
1 6 8
Direct
0.000 0.000 0.000 Ni
0.045 0.363 0.905 Ir
0.318 0.955 0.905 Ir
0.363 0.318 0.095 Ir
0.637 0.682 0.905 Ir
0.682 0.045 0.095 Ir
0.955 0.637 0.095 Ir
0.054 0.686 0.593 Rh
0.314 0.368 0.593 Rh
0.333 0.667 0.233 Rh
0.368 0.054 0.407 Rh
0.632 0.946 0.593 Rh
0.667 0.333 0.767 Rh
0.686 0.632 0.407 Rh
0.946 0.314 0.407 Rh

=====

Na3InMo, relaxed, DFT GGA-PBE; ΔE to the lowest computed polymorph = 29 meV per atom; DOS at the Fermi energy = 0.6230 states/eV per atom; total magnetic moment = 4.8 μB/f.u.; final energy = -2.3074 eV per atom
1.0
5.866 0.000 0.000
0.000 5.866 0.000
0.000 0.000 5.866
Na In Mo
3 1 1
Direct
0.000 0.000 0.500 Na
0.000 0.500 0.000 Na
0.500 0.000 0.000 Na
0.500 0.500 0.500 In
0.000 0.000 0.000 Mo

=====

Pm3PtBr3, relaxed, DFT GGA-PBE; formation energy (no corrections) = -1.485 eV per atom; DOS at the Fermi energy = 0.5022 states/eV per atom; total magnetic moment = 0.0 μB/f.u.; final energy = -5.1005 eV per atom
1.0
-6.046 6.046 6.046
6.046 -6.046 6.046
6.046 6.046 -6.046
Pm Pt Br
12 4 12
Direct
0.015 0.030 0.265 Pm
0.015 0.485 0.750 Pm
0.030 0.265 0.015 Pm
0.235 0.265 0.750 Pm
0.235 0.470 0.485 Pm
0.265 0.015 0.030 Pm
0.265 0.750 0.235 Pm
0.470 0.485 0.235 Pm
0.485 0.235 0.470 Pm
0.485 0.750 0.015 Pm
0.750 0.015 0.485 Pm
0.750 0.235 0.265 Pm
0.000 0.250 0.500 Pt
0.250 0.250 0.250 Pt
0.250 0.500 0.000 Pt
0.500 0.000 0.250 Pt
0.250 0.754 0.746 Br
0.250 0.996 0.504 Br
0.504 0.250 0.996 Br
0.504 0.754 0.508 Br
0.508 0.504 0.754 Br
0.746 0.250 0.754 Br
0.746 0.996 0.992 Br
0.754 0.508 0.504 Br
0.754 0.746 0.250 Br
0.992 0.746 0.996 Br
0.996 0.504 0.250 Br
0.996 0.992 0.746 Br

=====

IrPb2, relaxed, DFT GGA-PBE; DOS at the Fermi energy = 0.7718 states/eV per atom; total magnetic moment = 0.0 μB/f.u.; final energy = -5.1464 eV per atom
1.0
5.388 -1.615 0.000
5.388 1.615 0.000
-1.351 0.000 8.408
Ir Pb
2 4
Direct
0.000 0.000 0.000 Ir
0.654 0.654 0.210 Ir
0.148 0.148 0.491 Pb
0.386 0.386 0.237 Pb
0.434 0.434 0.707 Pb
0.719 0.719 0.900 Pb

=====

K2InGaBi2, relaxed, DFT GGA-PBE; DOS at the Fermi energy = 0.3456 states/eV per atom; total magnetic moment = 0.0 μB/f.u.; final energy = -2.8922 eV per atom
1.0
-3.776 7.884 3.757
3.776 -7.884 3.757
3.776 7.884 -3.757
K In Ga Bi
4 2 2 4
Direct
0.163 0.244 0.407 K
0.337 0.744 0.082 K
0.663 0.256 0.918 K
0.837 0.756 0.593 K
0.250 0.750 0.500 In
0.750 0.250 0.500 In
0.250 0.250 0.000 Ga
0.750 0.750 0.000 Ga
0.097 0.762 0.860 Bi
0.403 0.262 0.665 Bi
0.597 0.738 0.335 Bi
0.903 0.238 0.140 Bi

=====

Al2V4B, relaxed, DFT GGA-PBE; DOS at the Fermi energy = 0.7688 states/eV per atom; total magnetic moment = 0.0 μB/f.u.; final energy = -7.1870 eV per atom
1.0
-1.960 1.960 6.653
1.960 -1.960 6.653
1.960 1.960 -6.653
Al V B
2 4 1
Direct
0.143 0.143 0.000 Al
0.857 0.857 0.000 Al
0.000 0.500 0.500 V
0.343 0.343 0.000 V
0.500 0.000 0.500 V
0.657 0.657 0.000 V
0.500 0.500 0.000 B

=====

SnOsF2, relaxed, DFT GGA-PBE; ΔE to the lowest computed polymorph = 425 meV per atom; formation energy (no corrections) = -0.257 eV per atom; DOS at the Fermi energy = 0.0001 states/eV per atom; total magnetic moment = 0.0 μB/f.u.; final energy = -5.0012 eV per atom
1.0
-3.577 3.577 2.593
3.577 -3.577 2.593
3.577 3.577 -2.593
Sn Os F
2 2 4
Direct
0.000 0.000 0.000 Sn
0.750 0.250 0.500 Sn
0.250 0.750 0.500 Os
0.500 0.500 0.000 Os
0.220 0.625 0.095 F
0.375 0.470 0.595 F
0.530 0.125 0.905 F
0.875 0.780 0.405 F

=====

PmTh2Rh5Au, relaxed, DFT GGA-PBE; DOS at the Fermi energy = 1.0264 states/eV per atom; total magnetic moment = 0.0 μB/f.u.; final energy = -6.9842 eV per atom
1.0
-4.189 4.189 5.566
4.189 -4.189 5.566
4.189 4.189 -5.566
Pm Th Rh Au
2 4 10 2
Direct
0.250 0.250 0.000 Pm
0.750 0.750 0.000 Pm
0.138 0.638 0.777 Th
0.362 0.138 0.500 Th
0.638 0.862 0.500 Th
0.862 0.362 0.223 Th
0.000 0.000 0.000 Rh
0.058 0.174 0.500 Rh
0.174 0.674 0.115 Rh
0.326 0.442 0.500 Rh
0.442 0.942 0.115 Rh
0.500 0.500 0.000 Rh
0.558 0.058 0.885 Rh
0.674 0.558 0.500 Rh
0.826 0.326 0.885 Rh
0.942 0.826 0.500 Rh
0.250 0.750 0.500 Au
0.750 0.250 0.500 Au

=====

ZrCrMo2, relaxed, DFT GGA-PBE; ΔE to the lowest computed polymorph = 94 meV per atom; DOS at the Fermi energy = 1.1550 states/eV per atom; total magnetic moment = 0.0 μB/f.u.; final energy = -9.7991 eV per atom
1.0
2.859 0.000 0.000
0.000 4.406 0.000
-0.952 0.000 5.147
Zr Cr Mo
1 1 2
Direct
0.000 0.000 0.000 Zr
0.500 0.000 0.500 Cr
0.259 0.500 0.737 Mo
0.741 0.500 0.263 Mo

=====

Ba2P2Pt, relaxed, DFT GGA-PBE; DOS at the Fermi energy = 0.0035 states/eV per atom; total magnetic moment = 0.0 μB/f.u.; final energy = -4.8069 eV per atom
1.0
7.299 0.000 0.000
0.000 7.299 0.000
0.000 0.000 4.779
Ba P Pt
4 4 2
Direct
0.184 0.316 0.000 Ba
0.316 0.816 0.000 Ba
0.684 0.184 0.000 Ba
0.816 0.684 0.000 Ba
0.111 0.611 0.500 P
0.389 0.111 0.500 P
0.611 0.889 0.500 P
0.889 0.389 0.500 P
0.000 0.000 0.500 Pt
0.500 0.500 0.500 Pt

=====

Pa5Tc3N12, relaxed, DFT GGA-PBE; formation energy (no corrections) = -0.319 eV per atom; DOS at the Fermi energy = 0.7795 states/eV per atom; total magnetic moment = 0.0 μB/f.u.; final energy = -9.2429 eV per atom
1.0
-6.498 6.498 6.498
6.498 -6.498 6.498
6.498 6.498 -6.498
Pa Tc N
20 12 48
Direct
0.000 0.000 0.000 Pa
0.000 0.000 0.500 Pa
0.000 0.500 0.000 Pa
0.000 0.500 0.500 Pa
0.125 0.750 0.875 Pa
0.125 0.875 0.250 Pa
0.250 0.125 0.875 Pa
0.250 0.625 0.375 Pa
0.375 0.250 0.625 Pa
0.375 0.625 0.750 Pa
0.500 0.000 0.000 Pa
0.500 0.000 0.500 Pa
0.500 0.500 0.000 Pa
0.500 0.500 0.500 Pa
0.625 0.375 0.250 Pa
0.625 0.750 0.375 Pa
0.750 0.375 0.625 Pa
0.750 0.875 0.125 Pa
0.875 0.125 0.750 Pa
0.875 0.250 0.125 Pa
0.125 0.250 0.375 Tc
0.125 0.375 0.750 Tc
0.250 0.375 0.125 Tc
0.250 0.875 0.625 Tc
0.375 0.125 0.250 Tc
0.375 0.750 0.125 Tc
0.625 0.250 0.875 Tc
0.625 0.875 0.750 Tc
0.750 0.125 0.375 Tc
0.750 0.625 0.875 Tc
0.875 0.625 0.250 Tc
0.875 0.750 0.625 Tc
0.060 0.621 0.383 N
0.060 0.939 0.677 N
0.061 0.238 0.121 N
0.061 0.323 0.940 N
0.117 0.738 0.677 N
0.117 0.879 0.440 N
0.121 0.061 0.238 N
0.121 0.560 0.883 N
0.177 0.238 0.617 N
0.177 0.439 0.560 N
0.238 0.121 0.061 N
0.238 0.617 0.177 N
0.262 0.323 0.883 N
0.262 0.439 0.379 N
0.323 0.883 0.262 N
0.323 0.940 0.061 N
0.379 0.262 0.439 N
0.379 0.617 0.940 N
0.383 0.060 0.621 N
0.383 0.823 0.762 N
0.439 0.379 0.262 N
0.439 0.560 0.177 N
0.440 0.117 0.879 N
0.440 0.823 0.561 N
0.560 0.177 0.439 N
0.560 0.883 0.121 N
0.561 0.440 0.823 N
0.561 0.621 0.738 N
0.617 0.177 0.238 N
0.617 0.940 0.379 N
0.621 0.383 0.060 N
0.621 0.738 0.561 N
0.677 0.060 0.939 N
0.677 0.117 0.738 N
0.738 0.561 0.621 N
0.738 0.677 0.117 N
0.762 0.383 0.823 N
0.762 0.879 0.939 N
0.823 0.561 0.440 N
0.823 0.762 0.383 N
0.879 0.440 0.117 N
0.879 0.939 0.762 N
0.883 0.121 0.560 N
0.883 0.262 0.323 N
0.939 0.677 0.060 N
0.939 0.762 0.879 N
0.940 0.061 0.323 N
0.940 0.379 0.617 N

=====

LaSiAu, relaxed, DFT GGA-PBE; formation energy (no corrections) = -0.083 eV per atom; DOS at the Fermi energy = 0.8550 states/eV per atom; total magnetic moment = 0.0 μB/f.u.; final energy = -4.6255 eV per atom
1.0
4.572 0.000 0.000
0.000 4.572 0.000
0.000 0.000 6.924
La Si Au
2 2 2
Direct
0.250 0.750 0.000 La
0.750 0.250 0.000 La
0.250 0.250 0.327 Si
0.750 0.750 0.673 Si
0.250 0.250 0.680 Au
0.750 0.750 0.320 Au